NaGaH8N2F6 | Alexandria via LeMat-Bulk | meta-GGA SCAN | PBEsol geometry; N(E_F) = 0.000 states/eV/atom; size of the total moment = 0.00 μB/f.u.; total DFT energy (no corrections) = -117.1 eV per cell; SG = Fm-3m (225)
1.0
5.986 0.000 0.000
2.993 5.184 0.000
2.993 1.728 4.887
F N H Ga Na
6 2 8 1 1
direct
0.775 0.775 0.225 F
0.775 0.225 0.225 F
0.225 0.225 0.775 F
0.225 0.775 0.775 F
0.775 0.225 0.775 F
0.225 0.775 0.225 F
0.750 0.750 0.750 N
0.250 0.250 0.250 N
0.179 0.179 0.179 H
0.821 0.821 0.821 H
0.538 0.821 0.821 H
0.821 0.538 0.821 H
0.179 0.462 0.179 H
0.462 0.179 0.179 H
0.821 0.821 0.538 H
0.179 0.179 0.462 H
0.000 0.000 0.000 Ga
0.500 0.500 0.500 Na

=====

InRuCl2 | Alexandria via LeMat-Bulk | meta-GGA SCAN | PBEsol geometry; N(E_F) = 0.723 states/eV/atom; size of the total moment = 0.00 μB/f.u.; energy above the most stable polymorph in this dataset = 0 meV/atom; formation energy (no corrections) = 0.06 eV/atom; SG = R-3m (166)
1.0
3.026 0.000 0.000
1.513 2.620 0.000
1.513 0.873 9.545
Ru In Cl
1 1 2
direct
0.000 0.000 0.000 Ru
0.500 0.500 0.500 In
0.077 0.077 0.769 Cl
0.923 0.923 0.231 Cl